Entry 1:
# GGA-PBE LiFeRe2, optimized geometry
# Crystal system ... cubic
# Density of states at the Fermi level ... 5.00 states/eV/f.u.
# Offset from the most stable computed form ... 255 meV per atom
# ΔH_f (0 K) ... 462 meV per atom
data_LiFeRe2
_cell_length_a 5.859
_cell_length_b 5.859
_cell_length_c 5.859
_cell_angle_alpha 90.00
_cell_angle_beta 90.00
_cell_angle_gamma 90.00
_space_group_name_H-M_alt 'F m -3 m'
_space_group_IT_number 225
_space_group_name_Hall '-F 4 2 3'
loop_
_atom_site_label
_atom_site_type_symbol
_atom_site_fract_x
_atom_site_fract_y
_atom_site_fract_z
Li1 Li 0.000 0.000 0.000
Fe1 Fe 0.000 0.000 0.500
Re1 Re 0.250 0.250 0.250


Entry 2:
# GGA-PBE LiFeRe2, optimized geometry
# Crystal system ... monoclinic
# Density of states at the Fermi level ... 3.22 states/eV/f.u.
# Offset from the most stable computed form ... 0 meV per atom
# ΔH_f (0 K) ... 207 meV per atom
data_LiFeRe2
_cell_length_a 2.568
_cell_length_b 4.266
_cell_length_c 4.980
_cell_angle_alpha 90.00
_cell_angle_beta 98.27
_cell_angle_gamma 90.00
_space_group_name_H-M_alt 'P 1 m 1'
_space_group_IT_number 6
loop_
_space_group_symop_operation_xyz
'x,y,z'
'x,-y,z'
loop_
_atom_site_label
_atom_site_type_symbol
_atom_site_fract_x
_atom_site_fract_y
_atom_site_fract_z
Li1 Li 0.000 0.000 0.000
Fe1 Fe 0.168 0.500 0.772
Re1 Re 0.475 0.000 0.504
Re2 Re 0.699 0.500 0.255


Entry 3:
# GGA-PBE LiFeRe2, optimized geometry
# Crystal system ... orthorhombic
# Density of states at the Fermi level ... 3.24 states/eV/f.u.
# Offset from the most stable computed form ... 38 meV per atom
# ΔH_f (0 K) ... 246 meV per atom
data_LiFeRe2
_cell_length_a 2.958
_cell_length_b 4.270
_cell_length_c 8.623
_cell_angle_alpha 90.00
_cell_angle_beta 90.00
_cell_angle_gamma 90.00
_space_group_name_H-M_alt 'I m m m'
_space_group_IT_number 71
_space_group_name_Hall '-I 2 2'
loop_
_atom_site_label
_atom_site_type_symbol
_atom_site_fract_x
_atom_site_fract_y
_atom_site_fract_z
Li1 Li 0.000 0.000 0.000
Fe1 Fe 0.000 0.000 0.500
Re1 Re 0.000 0.500 0.239


Entry 4:
# GGA-PBE LiFeRe2, optimized geometry
# Crystal system ... orthorhombic
# Density of states at the Fermi level ... 3.09 states/eV/f.u.
# Offset from the most stable computed form ... 121 meV per atom
# ΔH_f (0 K) ... 328 meV per atom
data_LiFeRe2
_cell_length_a 5.154
_cell_length_b 8.287
_cell_length_c 2.543
_cell_angle_alpha 90.00
_cell_angle_beta 90.00
_cell_angle_gamma 90.00
_space_group_name_H-M_alt 'C m m m'
_space_group_IT_number 65
_space_group_name_Hall '-C 2 2'
loop_
_atom_site_label
_atom_site_type_symbol
_atom_site_fract_x
_atom_site_fract_y
_atom_site_fract_z
Li1 Li 0.000 0.000 0.000
Fe1 Fe 0.000 0.500 0.000
Re1 Re 0.250 0.250 0.500


Entry 5:
# GGA-PBE LiFe3Re, optimized geometry
# Crystal system ... cubic
# Density of states at the Fermi level ... 4.38 states/eV/f.u.
# Offset from the most stable computed form ... 0 meV per atom
# ΔH_f (0 K) ... 1048 meV per atom
data_LiFe3Re
_cell_length_a 3.799
_cell_length_b 3.799
_cell_length_c 3.799
_cell_angle_alpha 90.00
_cell_angle_beta 90.00
_cell_angle_gamma 90.00
_space_group_name_H-M_alt 'P m -3 m'
_space_group_IT_number 221
_space_group_name_Hall '-P 4 2 3'
loop_
_atom_site_label
_atom_site_type_symbol
_atom_site_fract_x
_atom_site_fract_y
_atom_site_fract_z
Li1 Li 0.000 0.000 0.000
Fe1 Fe 0.000 0.000 0.500
Re1 Re 0.500 0.500 0.500


Entry 6:
# GGA-PBE Li2FeRe, optimized geometry
# Crystal system ... tetragonal
# Density of states at the Fermi level ... 2.74 states/eV/f.u.
# Offset from the most stable computed form ... 152 meV per atom
# ΔH_f (0 K) ... 363 meV per atom
data_Li2FeRe
_cell_length_a 2.495
_cell_length_b 2.495
_cell_length_c 8.916
_cell_angle_alpha 90.00
_cell_angle_beta 90.00
_cell_angle_gamma 90.00
_space_group_name_H-M_alt 'P 4/m m m'
_space_group_IT_number 123
_space_group_name_Hall '-P 4 2'
loop_
_atom_site_label
_atom_site_type_symbol
_atom_site_fract_x
_atom_site_fract_y
_atom_site_fract_z
Li1 Li 0.000 0.000 0.248
Fe1 Fe 0.500 0.500 0.000
Re1 Re 0.500 0.500 0.500


Entry 7:
# GGA-PBE Li2FeRe, optimized geometry
# Crystal system ... orthorhombic
# Density of states at the Fermi level ... 2.79 states/eV/f.u.
# Offset from the most stable computed form ... 84 meV per atom
# ΔH_f (0 K) ... 296 meV per atom
data_Li2FeRe
_cell_length_a 2.650
_cell_length_b 4.235
_cell_length_c 4.657
_cell_angle_alpha 90.00
_cell_angle_beta 90.00
_cell_angle_gamma 90.00
_space_group_name_H-M_alt 'P m m m'
_space_group_IT_number 47
loop_
_space_group_symop_operation_xyz
'x,y,z'
'-x,-y,-z'
'-x,-y,z'
'x,y,-z'
'x,-y,-z'
'-x,y,z'
'-x,y,-z'
'x,-y,z'
loop_
_atom_site_label
_atom_site_type_symbol
_atom_site_fract_x
_atom_site_fract_y
_atom_site_fract_z
Li1 Li 0.000 0.000 0.000
Li2 Li 0.500 0.500 0.000
Fe1 Fe 0.000 0.500 0.500
Re1 Re 0.500 0.000 0.500


Entry 8:
# GGA-PBE Li2FeRe, optimized geometry
# Crystal system ... tetragonal
# Density of states at the Fermi level ... 2.92 states/eV/f.u.
# Offset from the most stable computed form ... 192 meV per atom
# ΔH_f (0 K) ... 403 meV per atom
data_Li2FeRe
_cell_length_a 3.377
_cell_length_b 3.377
_cell_length_c 4.480
_cell_angle_alpha 90.00
_cell_angle_beta 90.00
_cell_angle_gamma 90.00
_space_group_name_H-M_alt 'P 4/m m m'
_space_group_IT_number 123
_space_group_name_Hall '-P 4 2'
loop_
_atom_site_label
_atom_site_type_symbol
_atom_site_fract_x
_atom_site_fract_y
_atom_site_fract_z
Li1 Li 0.000 0.500 0.000
Fe1 Fe 0.000 0.000 0.500
Re1 Re 0.500 0.500 0.500


Entry 9:
# GGA-PBE Li2FeRe, optimized geometry
# Crystal system ... monoclinic
# Density of states at the Fermi level ... 2.19 states/eV/f.u.
# Offset from the most stable computed form ... 30 meV per atom
# ΔH_f (0 K) ... 241 meV per atom
data_Li2FeRe
_cell_length_a 2.522
_cell_length_b 4.105
_cell_length_c 5.328
_cell_angle_alpha 90.00
_cell_angle_beta 99.11
_cell_angle_gamma 90.00
_space_group_name_H-M_alt 'P 1 m 1'
_space_group_IT_number 6
loop_
_space_group_symop_operation_xyz
'x,y,z'
'x,-y,z'
loop_
_atom_site_label
_atom_site_type_symbol
_atom_site_fract_x
_atom_site_fract_y
_atom_site_fract_z
Li1 Li 0.000 0.000 0.000
Li2 Li 0.278 0.500 0.789
Fe1 Fe 0.426 0.000 0.480
Re1 Re 0.738 0.500 0.314


Entry 10:
# GGA-PBE Li2FeRe, optimized geometry
# Crystal system ... orthorhombic
# Density of states at the Fermi level ... 3.09 states/eV/f.u.
# Offset from the most stable computed form ... 87 meV per atom
# ΔH_f (0 K) ... 298 meV per atom
data_Li2FeRe
_cell_length_a 2.769
_cell_length_b 4.336
_cell_length_c 9.333
_cell_angle_alpha 90.00
_cell_angle_beta 90.00
_cell_angle_gamma 90.00
_space_group_name_H-M_alt 'C m m m'
_space_group_IT_number 65
_space_group_name_Hall '-C 2 2'
loop_
_atom_site_label
_atom_site_type_symbol
_atom_site_fract_x
_atom_site_fract_y
_atom_site_fract_z
Li1 Li 0.000 0.000 0.247
Fe1 Fe 0.000 0.500 0.000
Re1 Re 0.000 0.500 0.500


Entry 11:
# GGA-PBE LiFeRe2, optimized geometry
# Crystal system ... orthorhombic
# Density of states at the Fermi level ... 3.34 states/eV/f.u.
# Offset from the most stable computed form ... 113 meV per atom
# ΔH_f (0 K) ... 320 meV per atom
data_LiFeRe2
_cell_length_a 3.144
_cell_length_b 4.103
_cell_length_c 4.184
_cell_angle_alpha 90.00
_cell_angle_beta 90.00
_cell_angle_gamma 90.00
_space_group_name_H-M_alt 'P m m m'
_space_group_IT_number 47
loop_
_space_group_symop_operation_xyz
'x,y,z'
'-x,-y,-z'
'-x,-y,z'
'x,y,-z'
'x,-y,-z'
'-x,y,z'
'-x,y,-z'
'x,-y,z'
loop_
_atom_site_label
_atom_site_type_symbol
_atom_site_fract_x
_atom_site_fract_y
_atom_site_fract_z
Li1 Li 0.000 0.000 0.000
Fe1 Fe 0.500 0.500 0.000
Re1 Re 0.000 0.500 0.500
Re2 Re 0.500 0.000 0.500


Entry 12:
# GGA-PBE Li2FeRe, optimized geometry
# Crystal system ... tetragonal
# Density of states at the Fermi level ... 3.32 states/eV/f.u.
# Offset from the most stable computed form ... 194 meV per atom
# ΔH_f (0 K) ... 405 meV per atom
data_Li2FeRe
_cell_length_a 3.374
_cell_length_b 3.374
_cell_length_c 9.013
_cell_angle_alpha 90.00
_cell_angle_beta 90.00
_cell_angle_gamma 90.00
_space_group_name_H-M_alt 'I 4/m m m'
_space_group_IT_number 139
_space_group_name_Hall '-I 4 2'
loop_
_atom_site_label
_atom_site_type_symbol
_atom_site_fract_x
_atom_site_fract_y
_atom_site_fract_z
Li1 Li 0.000 0.500 0.250
Fe1 Fe 0.000 0.000 0.000
Re1 Re 0.000 0.000 0.500


Entry 13:
# GGA-PBE LiFeRe2, optimized geometry
# Crystal system ... tetragonal
# Density of states at the Fermi level ... 2.70 states/eV/f.u.
# Offset from the most stable computed form ... 104 meV per atom
# ΔH_f (0 K) ... 311 meV per atom
data_LiFeRe2
_cell_length_a 3.678
_cell_length_b 3.678
_cell_length_c 7.828
_cell_angle_alpha 90.00
_cell_angle_beta 90.00
_cell_angle_gamma 90.00
_space_group_name_H-M_alt 'I 4/m m m'
_space_group_IT_number 139
_space_group_name_Hall '-I 4 2'
loop_
_atom_site_label
_atom_site_type_symbol
_atom_site_fract_x
_atom_site_fract_y
_atom_site_fract_z
Li1 Li 0.000 0.000 0.000
Fe1 Fe 0.000 0.000 0.500
Re1 Re 0.000 0.500 0.250


Entry 14:
# GGA-PBE Li2FeRe, optimized geometry
# Crystal system ... orthorhombic
# Density of states at the Fermi level ... 2.96 states/eV/f.u.
# Offset from the most stable computed form ... 0 meV per atom
# ΔH_f (0 K) ... 211 meV per atom
data_Li2FeRe
_cell_length_a 3.000
_cell_length_b 4.266
_cell_length_c 9.143
_cell_angle_alpha 90.00
_cell_angle_beta 90.00
_cell_angle_gamma 90.00
_space_group_name_H-M_alt 'C m m 2'
_space_group_IT_number 35
loop_
_space_group_symop_operation_xyz
'x,y,z'
'-x,-y,z'
'-x,y,z'
'x,-y,z'
'x+1/2,y+1/2,z'
'-x+1/2,-y+1/2,z'
'-x+1/2,y+1/2,z'
'x+1/2,-y+1/2,z'
loop_
_atom_site_label
_atom_site_type_symbol
_atom_site_fract_x
_atom_site_fract_y
_atom_site_fract_z
Li1 Li 0.000 0.000 0.000
Li2 Li 0.000 0.500 0.287
Fe1 Fe 0.000 0.500 0.761
Re1 Re 0.000 0.000 0.537


Entry 15:
# GGA-PBE LiFeRe2, optimized geometry
# Crystal system ... monoclinic
# Density of states at the Fermi level ... 3.49 states/eV/f.u.
# Offset from the most stable computed form ... 47 meV per atom
# ΔH_f (0 K) ... 254 meV per atom
data_LiFeRe2
_cell_length_a 9.110
_cell_length_b 2.691
_cell_length_c 4.601
_cell_angle_alpha 90.00
_cell_angle_beta 103.36
_cell_angle_gamma 90.00
_space_group_name_H-M_alt 'C 1 2/m 1'
_space_group_IT_number 12
loop_
_space_group_symop_operation_xyz
'x,y,z'
'-x,-y,-z'
'-x,y,-z'
'x,-y,z'
'x+1/2,y+1/2,z'
'-x+1/2,-y+1/2,-z'
'-x+1/2,y+1/2,-z'
'x+1/2,-y+1/2,z'
loop_
_atom_site_label
_atom_site_type_symbol
_atom_site_fract_x
_atom_site_fract_y
_atom_site_fract_z
Li1 Li 0.000 0.000 0.000
Fe1 Fe 0.000 0.500 0.500
Re1 Re 0.235 0.000 0.741


Entry 16:
# GGA-PBE LiFeRe2, optimized geometry
# Crystal system ... tetragonal
# Density of states at the Fermi level ... 3.56 states/eV/f.u.
# Offset from the most stable computed form ... 78 meV per atom
# ΔH_f (0 K) ... 285 meV per atom
data_LiFeRe2
_cell_length_a 3.073
_cell_length_b 3.073
_cell_length_c 5.582
_cell_angle_alpha 90.00
_cell_angle_beta 90.00
_cell_angle_gamma 90.00
_space_group_name_H-M_alt 'P 4 m m'
_space_group_IT_number 99
loop_
_space_group_symop_operation_xyz
'x,y,z'
'-y,x,z'
'-x,-y,z'
'y,-x,z'
'-x,y,z'
'y,x,z'
'x,-y,z'
'-y,-x,z'
loop_
_atom_site_label
_atom_site_type_symbol
_atom_site_fract_x
_atom_site_fract_y
_atom_site_fract_z
Li1 Li 0.000 0.000 0.000
Fe1 Fe 0.500 0.500 0.789
Re1 Re 0.000 0.000 0.512
Re2 Re 0.500 0.500 0.250


Entry 17:
# GGA-PBE LiFe3Re, optimized geometry
# Crystal system ... cubic
# Density of states at the Fermi level ... 6.10 states/eV/f.u.
# Offset from the most stable computed form ... 236 meV per atom
# ΔH_f (0 K) ... 1284 meV per atom
data_LiFe3Re
_cell_length_a 4.534
_cell_length_b 4.534
_cell_length_c 4.534
_cell_angle_alpha 90.00
_cell_angle_beta 90.00
_cell_angle_gamma 90.00
_space_group_name_H-M_alt 'P m -3 m'
_space_group_IT_number 221
_space_group_name_Hall '-P 4 2 3'
loop_
_atom_site_label
_atom_site_type_symbol
_atom_site_fract_x
_atom_site_fract_y
_atom_site_fract_z
Li1 Li 0.000 0.000 0.000
Fe1 Fe 0.000 0.500 0.500
Re1 Re 0.500 0.500 0.500


Entry 18:
# GGA-PBE LiFeRe2, optimized geometry
# Crystal system ... tetragonal
# Density of states at the Fermi level ... 5.26 states/eV/f.u.
# Offset from the most stable computed form ... 587 meV per atom
# ΔH_f (0 K) ... 794 meV per atom
data_LiFeRe2
_cell_length_a 7.074
_cell_length_b 7.074
_cell_length_c 4.853
_cell_angle_alpha 90.00
_cell_angle_beta 90.00
_cell_angle_gamma 90.00
_space_group_name_H-M_alt 'I -4 2 d'
_space_group_IT_number 122
_space_group_name_Hall 'I -4 2bw'
loop_
_atom_site_label
_atom_site_type_symbol
_atom_site_fract_x
_atom_site_fract_y
_atom_site_fract_z
Li1 Li 0.000 0.000 0.000
Fe1 Fe 0.000 0.000 0.500
Re1 Re 0.187 0.250 0.625


Entry 19:
# GGA-PBE LiFeRe2, optimized geometry
# Crystal system ... orthorhombic
# Density of states at the Fermi level ... 2.39 states/eV/f.u.
# Offset from the most stable computed form ... 58 meV per atom
# ΔH_f (0 K) ... 265 meV per atom
data_LiFeRe2
_cell_length_a 2.983
_cell_length_b 4.359
_cell_length_c 8.855
_cell_angle_alpha 90.00
_cell_angle_beta 90.00
_cell_angle_gamma 90.00
_space_group_name_H-M_alt 'C m m 2'
_space_group_IT_number 35
loop_
_space_group_symop_operation_xyz
'x,y,z'
'-x,-y,z'
'-x,y,z'
'x,-y,z'
'x+1/2,y+1/2,z'
'-x+1/2,-y+1/2,z'
'-x+1/2,y+1/2,z'
'x+1/2,-y+1/2,z'
loop_
_atom_site_label
_atom_site_type_symbol
_atom_site_fract_x
_atom_site_fract_y
_atom_site_fract_z
Li1 Li 0.000 0.000 0.000
Fe1 Fe 0.000 0.500 0.253
Re1 Re 0.000 0.000 0.485
Re2 Re 0.000 0.500 0.738


Entry 20:
# GGA-PBE Li2FeRe, optimized geometry
# Crystal system ... monoclinic
# Density of states at the Fermi level ... 3.22 states/eV/f.u.
# Offset from the most stable computed form ... 78 meV per atom
# ΔH_f (0 K) ... 289 meV per atom
data_Li2FeRe
_cell_length_a 2.530
_cell_length_b 4.644
_cell_length_c 4.553
_cell_angle_alpha 90.00
_cell_angle_beta 96.98
_cell_angle_gamma 90.00
_space_group_name_H-M_alt 'P 1 2/m 1'
_space_group_IT_number 10
loop_
_space_group_symop_operation_xyz
'x,y,z'
'-x,-y,-z'
'-x,y,-z'
'x,-y,z'
loop_
_atom_site_label
_atom_site_type_symbol
_atom_site_fract_x
_atom_site_fract_y
_atom_site_fract_z
Li1 Li 0.207 0.000 0.249
Fe1 Fe 0.000 0.500 0.500
Re1 Re 0.500 0.500 0.000